The following is a DFT calculation (PBE with a Hubbard U) of a geometry-optimized MoRh2O6 structure.

The structure in extended XYZ format:
```
9
Lattice="-1.664 3.869 -1.239 -3.490 -2.408 -2.835 -1.008 1.126 4.871" Properties=species:S:1:pos:R:3 pbc="T T T"
Mo 0.000 0.000 0.000
Rh -3.494 0.705 -0.886
Rh -2.667 1.883 1.683
O -4.250 2.036 0.435
O -2.752 -0.633 -2.208
O -1.093 1.729 2.943
O -2.401 2.094 -1.867
O -1.911 0.551 0.363
O -1.578 3.266 0.689
```

Results
Space-group type = P-31m
Polymorph energy (0 for the lowest one) = 88.5 meV per atom
E_tot = -6.7393 eV per atom
Theoretical density = 6.677 g cm⁻³